CrSnTePb2 | PBE | relaxed

Computed properties:
energy relative to the elements, uncorrected = 0.3505 eV per atom
E = -4.486 eV/atom
M_tot = 2.26 μB/f.u.
symmetry = No. 123

Structure (extended XYZ):
```
5
Lattice="5.626 0.000 0.000 0.000 5.626 0.000 0.000 0.000 5.503" Properties=species:S:1:pos:R:3 pbc="T T T"
Cr 0.000 0.000 0.000
Sn 0.000 0.000 2.751
Te 2.813 2.813 2.751
Pb 0.000 2.813 0.000
Pb 2.813 0.000 0.000
```